Record 1
First-principles (GGA-PBE) data for a geometry-optimized NaIrOF2 structure, as listed in Alexandria via LeMat-Bulk.

Summary:
total energy = -18.77 eV/f.u.
formation energy from raw total energies = 0.023 eV per atom
space-group type = No. 123
V = 13.0 Å³ per atom

a = 3.8850 Å, b = 3.8850 Å, c = 4.2998 Å
α = 90.00°, β = 90.00°, γ = 90.00°
Element x y z (fractional)
Na: 0.0000 0.0000 0.0000
Ir: 0.5000 0.5000 0.5000
O: 0.0000 0.0000 0.5000
F: 0.0000 0.5000 0.0000
F: 0.5000 0.0000 0.0000



Record 2
First-principles (GGA-PBE) data for a geometry-optimized NaIrOF2 structure, as listed in Alexandria via LeMat-Bulk.

Summary:
total energy = -25.19 eV/f.u.
formation energy from raw total energies = -1.261 eV per atom
space-group type = No. 123
V = 14.6 Å³ per atom

a = 4.3982 Å, b = 4.3982 Å, c = 3.7745 Å
α = 90.00°, β = 90.00°, γ = 90.00°
Element x y z (fractional)
Na: 0.0000 0.0000 0.0000
Ir: 0.5000 0.5000 0.5000
O: 0.5000 0.5000 0.0000
F: 0.0000 0.5000 0.5000
F: 0.5000 0.0000 0.5000



Across the entries above, E above lowest polymorph takes the values 1284.5; 0.0 meV per atom, respectively.